(1)
A geometry-optimized CeBe2Pd2Au structure, computed with PBE.

Cell: 4.3173 4.3173 5.6763 Å, 90.00 90.00 90.00°
Last column: nearest neighbours and their distance in Å.
Element x y z (fractional)
Pd 0.5000 0.5000 0.2479  4 Be 2.58, 2 Pd 2.81-2.86
Pd 0.5000 0.5000 0.7521  4 Be 2.58, 2 Pd 2.81-2.86
Ce 0.0000 0.0000 0.5000  2 Au 2.84
Be 0.0000 0.5000 0.0000  2 Au 2.16
Be 0.5000 0.0000 0.0000  2 Au 2.16
Au 0.0000 0.0000 0.0000  4 Be 2.16

Output
The calculation puts the total magnetic moment at 0.8 μB/cell. As for the space group: P4/mmm, No. 123.

(2)
A geometry-optimized Ce2Be4Pt3Au structure, computed with PBE.

Cell: 4.1089 4.1089 9.5933 Å, 90.00 90.00 90.00°
Last column: nearest neighbours and their distance in Å.
Element x y z (fractional)
Pt 0.0000 0.5000 0.1232  5 Be 2.37-2.39
Pt 0.5000 0.0000 0.8768  5 Be 2.37-2.39
Pt 0.0000 0.0000 0.5000  4 Be 2.39
Be 0.0000 0.5000 0.3727  3 Pt 2.39, 2 Au 2.39
Be 0.5000 0.5000 0.0000  4 Pt 2.37
Be 0.0000 0.0000 0.0000  4 Pt 2.37
Be 0.5000 0.0000 0.6273  3 Pt 2.39, 2 Au 2.39
Au 0.5000 0.5000 0.5000  4 Be 2.39
Ce 0.0000 0.5000 0.7588  8 Be 3.09-3.17, 6 Pt 3.12-3.22, 2 Au 3.22
Ce 0.5000 0.0000 0.2412  8 Be 3.09-3.17, 6 Pt 3.12-3.22, 2 Au 3.22

Output
The calculation puts the total magnetic moment at 1.6 μB/cell. As for the space group: P-4m2, No. 115.

(3)
A geometry-optimized Ce2Be3Pt4Au structure, computed with PBE.

Cell: 3.9923 3.9923 10.7101 Å, 90.00 90.00 90.00°
Last column: nearest neighbours and their distance in Å.
Element x y z (fractional)
Au 0.5000 0.5000 0.5000  4 Pt 2.75, 4 Be 2.82
Be 0.0000 0.0000 0.5000  4 Pt 2.75, 4 Au 2.82
Be 0.0000 0.5000 0.1101  5 Pt 2.29-2.32
Be 0.5000 0.0000 0.8899  5 Pt 2.29-2.32
Ce 0.0000 0.5000 0.7573  8 Pt 2.95-3.28, 4 Be 3.16
Ce 0.5000 0.0000 0.2427  8 Pt 2.95-3.28, 4 Be 3.16
Pt 0.5000 0.0000 0.6760  1 Be 2.29
Pt 0.5000 0.5000 0.0000  4 Be 2.32
Pt 0.0000 0.5000 0.3240  1 Be 2.29
Pt 0.0000 0.0000 0.0000  4 Be 2.32

Output
The calculation puts the total magnetic moment at 1.4 μB/cell. As for the space group: P-4m2, No. 115.

(4)
A geometry-optimized Ce2BePt6Au structure, computed with PBE.

Cell: 6.5921 6.5921 6.5921 Å, 60.00 60.00 90.00°
Last column: nearest neighbours and their distance in Å.
Element x y z (fractional)
Ce 0.7500 0.2500 0.5000  12 Pt 3.30
Ce 0.2500 0.7500 0.5000  12 Pt 3.30
Au 0.0000 0.0000 0.0000  6 Pt 2.56
Pt 0.2744 0.7256 0.0000  1 Be 2.10
Pt 0.7256 0.7256 0.0000  1 Be 2.10
Pt 0.2744 0.2744 0.4512  1 Be 2.10
Pt 0.7256 0.7256 0.5488  1 Be 2.10
Pt 0.2744 0.2744 0.0000  1 Be 2.10
Pt 0.7256 0.2744 0.0000  1 Be 2.10
Be 0.5000 0.5000 0.0000  6 Pt 2.10

Output
The calculation puts the total magnetic moment at 1.4 μB/cell. As for the space group: Fm-3m, No. 225.

no.,energy relative to the elements (eV per atom)
1,-0.255
2,-0.696
3,-0.772
4,-0.360